NaBi3Pd5 | GGA-PBE | relaxed

Lattice parameters (Å, degrees): 7.761 7.761 11.947 90.00 90.00 146.79
Fractional positions:
Na1 0.238 0.762 0.750
Na2 0.762 0.238 0.250
Bi1 0.102 0.898 0.250
Bi2 0.377 0.623 0.091
Bi3 0.377 0.623 0.409
Bi4 0.623 0.377 0.591
Bi5 0.623 0.377 0.909
Bi6 0.898 0.102 0.750
Pd1 0.000 0.000 0.000
Pd2 0.000 0.000 0.500
Pd3 0.191 0.809 0.035
Pd4 0.191 0.809 0.465
Pd5 0.433 0.567 0.626
Pd6 0.433 0.567 0.874
Pd7 0.567 0.433 0.126
Pd8 0.567 0.433 0.374
Pd9 0.809 0.191 0.535
Pd10 0.809 0.191 0.965

Computed properties:
M_tot = 0.00 μB per atom
E_tot = -4.60 eV/atom